A) Mg3ReHg after structural relaxation, computed with GGA-PBE.

symmetry	Pm-3m
magnetic moment	1.249	μB/f.u.

Cell: 5.137 5.137 5.137 Å, 90.00 90.00 90.00°
Sites, in units of the cell vectors:
Re 0.000 0.000 0.000
Mg 0.000 0.500 0.000
Mg 0.000 0.000 0.500
Mg 0.500 0.000 0.000
Hg 0.500 0.500 0.500

=====

B) Mg3ReHg after structural relaxation, computed with GGA-PBE.

symmetry	Pm-3m
magnetic moment	3.517	μB/f.u.

Cell: 5.064 5.064 5.064 Å, 90.00 90.00 90.00°
Sites, in units of the cell vectors:
Re 0.500 0.500 0.500
Mg 0.000 0.500 0.000
Mg 0.000 0.000 0.500
Mg 0.500 0.000 0.000
Hg 0.000 0.000 0.000

=====

It turns out A) is the most stable, with the second structure 280 meV per atom higher.

=====

A) Mg4HgRh2 after structural relaxation, computed with GGA-PBE.

symmetry	I-42d
magnetic moment	0.000	μB/f.u.

Cell: 6.955 6.955 6.955 Å, 110.02 108.39 110.02°
Sites, in units of the cell vectors:
Mg 0.150 0.919 0.396
Mg 0.604 0.754 0.523
Mg 0.981 0.581 0.727
Mg 0.273 0.254 0.854
Mg 0.600 0.746 0.019
Mg 0.769 0.246 0.850
Mg 0.477 0.081 0.231
Mg 0.146 0.419 0.400
Hg 0.000 0.000 0.000
Hg 0.750 0.500 0.250
Rh 0.875 0.113 0.488
Rh 0.512 0.387 0.625
Rh 0.375 0.887 0.762
Rh 0.238 0.613 0.125

=====

B) Mg4HgRh2 after structural relaxation, computed with GGA-PBE.

symmetry	R-3m
magnetic moment	0.000	μB/f.u.

Cell: 4.592 4.592 7.414 Å, 71.96 71.96 60.00°
Sites, in units of the cell vectors:
Mg 0.863 0.863 0.411
Mg 0.137 0.137 0.589
Mg 0.599 0.599 0.202
Mg 0.401 0.401 0.798
Hg 0.000 0.000 0.000
Rh 0.734 0.734 0.797
Rh 0.266 0.266 0.203

=====

It turns out B) is the most stable, with the second structure 122 meV per atom higher.

=====

A) Mg2ScHgRu after structural relaxation, computed with GGA-PBE.

symmetry	P4/mmm
magnetic moment	0.000	μB/f.u.

Cell: 4.807 5.216 4.807 Å, 90.00 90.00 90.00°
Sites, in units of the cell vectors:
Sc 0.500 0.500 0.500
Ru 0.000 0.000 0.000
Mg 0.000 0.000 0.500
Mg 0.500 0.000 0.000
Hg 0.000 0.500 0.000

=====

B) Mg2ScHgRu after structural relaxation, computed with GGA-PBE.

symmetry	P4/mmm
magnetic moment	0.000	μB/f.u.

Cell: 5.643 4.422 5.643 Å, 90.00 90.00 90.00°
Sites, in units of the cell vectors:
Sc 0.000 0.000 0.000
Ru 0.000 0.500 0.000
Mg 0.000 0.000 0.500
Mg 0.500 0.000 0.000
Hg 0.500 0.500 0.500

=====

It turns out A) is the most stable, with the second structure 488 meV per atom higher.

=====

A) MgHgS2 after structural relaxation, computed with GGA-PBE.

symmetry	P3m1
magnetic moment	0.000	μB/f.u.

Cell: 4.137 4.137 6.414 Å, 90.00 90.00 120.00°
Sites, in units of the cell vectors:
Mg 0.333 0.667 0.411
S 0.333 0.667 0.806
S 0.667 0.333 0.305
Hg 0.000 0.000 0.933

=====

B) MgHgS2 after structural relaxation, computed with GGA-PBE.

symmetry	I4/mcm
magnetic moment	0.000	μB/f.u.

Cell: 6.940 6.940 5.922 Å, 54.13 54.13 90.00°
Sites, in units of the cell vectors:
Mg 0.750 0.250 0.500
Mg 0.250 0.750 0.500
S 0.810 0.310 0.000
S 0.190 0.690 0.000
S 0.310 0.190 0.000
S 0.690 0.810 0.000
Hg 0.750 0.750 0.500
Hg 0.250 0.250 0.500

=====

It turns out A) is the most stable, with the second structure 259 meV per atom higher.

=====

A) MgHgS2 after structural relaxation, computed with GGA-PBE.

symmetry	C2/m
magnetic moment	0.000	μB/f.u.

Cell: 6.847 3.875 3.875 Å, 120.84 109.93 70.07°
Sites, in units of the cell vectors:
Mg 0.500 0.500 0.500
S 0.727 0.725 0.275
S 0.273 0.275 0.725
Hg 0.000 0.000 0.000

=====

B) MgHgS2 after structural relaxation, computed with GGA-PBE.

symmetry	Pna2_1
magnetic moment	0.000	μB/f.u.

Cell: 7.171 8.238 6.740 Å, 90.00 90.00 90.00°
Sites, in units of the cell vectors:
Mg 0.085 0.875 0.001
Mg 0.915 0.125 0.501
Mg 0.415 0.375 0.501
Mg 0.585 0.625 0.001
S 0.411 0.866 0.114
S 0.589 0.134 0.614
S 0.089 0.366 0.614
S 0.911 0.634 0.114
S 0.072 0.883 0.635
S 0.928 0.117 0.135
S 0.428 0.383 0.135
S 0.572 0.617 0.635
Hg 0.090 0.376 0.999
Hg 0.910 0.624 0.499
Hg 0.410 0.876 0.499
Hg 0.590 0.124 0.999

=====

It turns out B) is the most stable, with the second structure 137 meV per atom higher.

=====

A) MgHgS2 after structural relaxation, computed with GGA-PBE.

symmetry	Pc
magnetic moment	0.000	μB/f.u.

Cell: 6.743 7.117 4.151 Å, 89.99 89.98 90.00°
Sites, in units of the cell vectors:
Mg 0.686 0.846 0.443
Mg 0.186 0.185 0.442
S 0.552 0.168 0.442
S 0.052 0.863 0.441
S 0.075 0.341 0.942
S 0.575 0.690 0.943
Hg 0.690 0.342 0.941
Hg 0.190 0.689 0.940

=====

B) MgHgS2 after structural relaxation, computed with GGA-PBE.

symmetry	P3m1
magnetic moment	0.000	μB/f.u.

Cell: 3.927 3.927 6.651 Å, 90.00 90.00 120.00°
Sites, in units of the cell vectors:
Mg 0.000 0.000 0.971
S 0.333 0.667 0.811
S 0.667 0.333 0.229
Hg 0.333 0.667 0.444

=====

It turns out A) is the most stable, with the second structure 64 meV per atom higher.

=====

A) MgHgS2 after structural relaxation, computed with GGA-PBE.

symmetry	I-42d
magnetic moment	0.000	μB/f.u.

Cell: 5.831 5.831 7.174 Å, 66.02 66.02 90.00°
Sites, in units of the cell vectors:
Mg 0.500 0.500 0.000
Mg 0.250 0.750 0.500
S 0.606 0.125 0.250
S 0.144 0.625 0.250
S 0.375 0.394 0.750
S 0.875 0.856 0.750
Hg 0.000 0.000 0.000
Hg 0.750 0.250 0.500

=====

B) MgHgS2 after structural relaxation, computed with GGA-PBE.

symmetry	Cm
magnetic moment	0.000	μB/f.u.

Cell: 4.144 8.236 4.144 Å, 89.93 119.96 59.80°
Sites, in units of the cell vectors:
Mg 0.533 0.513 0.202
S 0.061 0.617 0.466
S 0.023 0.145 0.446
Hg 0.545 0.003 0.207

=====

C) MgHgS2 after structural relaxation, computed with GGA-PBE.

symmetry	Pnma
magnetic moment	0.000	μB/f.u.

Cell: 8.866 3.776 12.683 Å, 90.00 90.00 90.00°
Sites, in units of the cell vectors:
Mg 0.441 0.250 0.382
Mg 0.059 0.750 0.882
Mg 0.559 0.750 0.618
Mg 0.941 0.250 0.118
S 0.683 0.250 0.488
S 0.817 0.750 0.988
S 0.317 0.750 0.512
S 0.183 0.250 0.012
S 0.506 0.250 0.739
S 0.994 0.750 0.239
S 0.494 0.750 0.261
S 0.006 0.250 0.761
Hg 0.195 0.250 0.626
Hg 0.305 0.750 0.126
Hg 0.805 0.750 0.374
Hg 0.695 0.250 0.874

=====

D) MgHgS2 after structural relaxation, computed with GGA-PBE.

symmetry	Cmcm
magnetic moment	0.000	μB/f.u.

Cell: 9.955 9.955 4.845 Å, 90.00 90.00 157.41°
Sites, in units of the cell vectors:
Mg 0.065 0.935 0.250
Mg 0.935 0.065 0.750
S 0.191 0.809 0.250
S 0.809 0.191 0.750
S 0.936 0.064 0.250
S 0.064 0.936 0.750
Hg 0.322 0.678 0.250
Hg 0.678 0.322 0.750

=====

It turns out B) is the most stable, with the second structure 19 meV per atom higher.

=====

A) MgHgS2 after structural relaxation, computed with GGA-PBE.

symmetry	Cm
magnetic moment	0.000	μB/f.u.

Cell: 7.107 7.167 4.148 Å, 73.18 89.98 99.82°
Sites, in units of the cell vectors:
Mg 0.550 0.308 0.117
Mg 0.300 0.816 0.863
S 0.723 0.422 0.560
S 0.991 0.932 0.805
S 0.469 0.943 0.299
S 0.255 0.452 0.045
Hg 0.056 0.315 0.613
Hg 0.786 0.806 0.368

=====

B) MgHgS2 after structural relaxation, computed with GGA-PBE.

symmetry	P1
magnetic moment	0.000	μB/f.u.

Cell: 4.148 6.704 4.146 Å, 90.00 119.99 90.03°
Sites, in units of the cell vectors:
Mg 0.330 0.514 0.453
S 0.664 0.617 0.121
S 0.334 0.144 0.457
Hg 0.668 0.003 0.124

=====

C) MgHgS2 after structural relaxation, computed with GGA-PBE.

symmetry	C2/c
magnetic moment	0.000	μB/f.u.

Cell: 18.565 7.857 7.857 Å, 89.56 120.25 59.75°
Sites, in units of the cell vectors:
Mg 0.130 0.073 0.072
Mg 0.370 0.572 0.573
Mg 0.870 0.927 0.928
Mg 0.630 0.428 0.427
Mg 0.399 0.011 0.763
Mg 0.101 0.263 0.511
Mg 0.601 0.989 0.237
Mg 0.899 0.737 0.489
S 0.969 0.851 0.785
S 0.531 0.285 0.351
S 0.031 0.149 0.215
S 0.469 0.715 0.649
S 0.752 0.212 0.328
S 0.748 0.828 0.712
S 0.248 0.788 0.672
S 0.252 0.172 0.288
S 0.518 0.802 0.182
S 0.982 0.682 0.302
S 0.482 0.198 0.818
S 0.018 0.318 0.698
S 0.750 0.309 0.809
S 0.250 0.691 0.191
S 0.750 0.741 0.241
S 0.250 0.259 0.759
Hg 0.364 0.562 0.041
Hg 0.136 0.541 0.062
Hg 0.636 0.438 0.959
Hg 0.864 0.459 0.938
Hg 0.369 0.022 0.186
Hg 0.131 0.686 0.522
Hg 0.631 0.978 0.814
Hg 0.869 0.314 0.478

=====

D) MgHgS2 after structural relaxation, computed with GGA-PBE.

symmetry	R-3m
magnetic moment	0.000	μB/f.u.

Cell: 7.557 7.557 7.557 Å, 30.67 30.67 30.67°
Sites, in units of the cell vectors:
Mg 0.500 0.500 0.500
S 0.891 0.891 0.891
S 0.109 0.109 0.109
Hg 0.000 0.000 0.000

=====

It turns out A) is the most stable, with the second structure 5 meV per atom higher.